No. 1
CuRe2F: optimized geometry, PBE.

calculated density	14.78	g cm⁻³
E_form (uncorrected)	2.753	eV per formula unit
space-group type	Fm-3m
polymorph energy (0 for the lowest one)	0.0	meV per atom
crystal system	cubic
magnetization	0.000	μB/cell
final energy	-28.11	eV per cell

Cell: 4.166 4.166 4.166 Å, 60.00 60.00 60.00°
Fractional positions:
Cu 0.000 0.000 0.000
Re 0.250 0.250 0.250
Re 0.750 0.750 0.750
F 0.500 0.500 0.500



No. 2
Ta2InCl: optimized geometry, PBE.

calculated density	9.63	g cm⁻³
E_form (uncorrected)	-0.055	eV per formula unit
space-group type	P4mm
polymorph energy (0 for the lowest one)	114.4	meV per atom
crystal system	tetragonal
magnetization	0.000	μB/cell
final energy	-28.35	eV per cell

Cell: 2.933 2.933 10.264 Å, 90.00 90.00 90.00°
Fractional positions:
Ta 0.000 0.000 0.000
Ta 0.500 0.500 0.213
In 0.500 0.500 0.763
Cl 0.000 0.000 0.382



No. 3
GeW3S: optimized geometry, PBE.

calculated density	12.53	g cm⁻³
E_form (uncorrected)	5.233	eV per formula unit
space-group type	Pm-3m
polymorph energy (0 for the lowest one)	0.0	meV per atom
crystal system	cubic
magnetization	0.000	μB/cell
final energy	-42.37	eV per cell

Cell: 4.431 4.431 4.431 Å, 90.00 90.00 90.00°
Fractional positions:
Ge 0.000 0.000 0.000
W 0.000 0.500 0.500
W 0.500 0.000 0.500
W 0.500 0.500 0.000
S 0.500 0.500 0.500



No. 4
MnAlCl2: optimized geometry, PBE.

calculated density	2.55	g cm⁻³
E_form (uncorrected)	-1.516	eV per formula unit
space-group type	Cm
polymorph energy (0 for the lowest one)	255.3	meV per atom
crystal system	monoclinic
magnetization	3.978	μB/cell
final energy	-18.12	eV per cell

Cell: 4.992 4.992 6.853 Å, 106.85 106.85 37.78°
Fractional positions:
Mn 0.000 0.000 0.000
Al 0.288 0.288 0.061
Cl 0.543 0.543 0.759
Cl 0.699 0.699 0.285



No. 5
ZrScCu2: optimized geometry, PBE.

calculated density	6.26	g cm⁻³
space-group type	P4/mmm
polymorph energy (0 for the lowest one)	4.7	meV per atom
crystal system	tetragonal
magnetization	0.399	μB/cell
ΔH_f (0 K)	-0.18	eV per atom
final energy	-23.78	eV per cell

Cell: 4.673 4.673 3.201 Å, 90.00 90.00 90.00°
Fractional positions:
Zr 0.000 0.000 0.000
Sc 0.500 0.500 0.000
Cu 0.000 0.500 0.500
Cu 0.500 0.000 0.500



No. 6
LaScMn2: optimized geometry, PBE.

calculated density	5.72	g cm⁻³
space-group type	Imm2
crystal system	orthorhombic
magnetization	0.384	μB/cell
ΔH_f (0 K)	0.25	eV per atom
final energy	-28.61	eV per cell

Cell: 6.111 6.111 6.111 Å, 148.14 134.48 56.63°
Fractional positions:
La 0.000 0.000 0.000
Sc 0.722 0.222 0.500
Mn 0.273 0.773 0.500
Mn 0.415 0.415 0.000



No. 7
NbGe3P: optimized geometry, PBE.

calculated density	5.62	g cm⁻³
space-group type	Pm-3m
crystal system	cubic
magnetization	0.003	μB/cell
ΔH_f (0 K)	0.96	eV per atom
final energy	-24.53	eV per cell

Cell: 4.658 4.658 4.658 Å, 90.00 90.00 90.00°
Fractional positions:
Nb 0.000 0.000 0.000
Ge 0.000 0.500 0.500
Ge 0.500 0.000 0.500
Ge 0.500 0.500 0.000
P 0.500 0.500 0.500



No. 8
LaAg3B: optimized geometry, PBE.

calculated density	8.06	g cm⁻³
space-group type	Pm-3m
polymorph energy (0 for the lowest one)	0.0	meV per atom
crystal system	cubic
magnetization	0.000	μB/cell
ΔH_f (0 K)	0.14	eV per atom
final energy	-19.47	eV per cell

Cell: 4.603 4.603 4.603 Å, 90.00 90.00 90.00°
Fractional positions:
La 0.000 0.000 0.000
Ag 0.000 0.500 0.500
Ag 0.500 0.000 0.500
Ag 0.500 0.500 0.000
B 0.500 0.500 0.500



No. 9
GdMnAu2: optimized geometry, PBE.

calculated density	12.17	g cm⁻³
space-group type	R-3m
crystal system	trigonal
magnetization	11.401	μB/cell
ΔH_f (0 K)	-0.41	eV per atom
final energy	-31.43	eV per cell

Cell: 4.884 4.884 4.884 Å, 60.19 60.19 60.19°
Fractional positions:
Gd 0.000 0.000 0.000
Mn 0.500 0.500 0.500
Au 0.251 0.251 0.251
Au 0.749 0.749 0.749



No. 10
Ca3Cd4: optimized geometry, PBE.

calculated density	4.38	g cm⁻³
space-group type	R-3m
crystal system	trigonal
magnetization	0.000	μB/cell
ΔH_f (0 K)	-0.16	eV per atom
final energy	-10.77	eV per cell

Cell: 9.216 9.216 9.216 Å, 33.80 33.80 33.80°
Fractional positions:
Ca 0.000 0.000 0.000
Ca 0.249 0.249 0.249
Ca 0.751 0.751 0.751
Cd 0.126 0.126 0.126
Cd 0.376 0.376 0.376
Cd 0.624 0.624 0.624
Cd 0.874 0.874 0.874



No. 11
K2Cd2Ni: optimized geometry, PBE.

calculated density	4.01	g cm⁻³
space-group type	P4/mbm
crystal system	tetragonal
magnetization	0.000	μB/cell
ΔH_f (0 K)	0.20	eV per atom
final energy	-17.62	eV per cell

Cell: 7.114 7.114 5.921 Å, 90.00 90.00 90.00°
Fractional positions:
K 0.177 0.323 0.000
K 0.323 0.823 0.000
K 0.677 0.177 0.000
K 0.823 0.677 0.000
Cd 0.163 0.663 0.500
Cd 0.337 0.163 0.500
Cd 0.663 0.837 0.500
Cd 0.837 0.337 0.500
Ni 0.000 0.000 0.500
Ni 0.500 0.500 0.500



No. 12
CaReAs2: optimized geometry, PBE.

calculated density	7.77	g cm⁻³
space-group type	C2/m
polymorph energy (0 for the lowest one)	0.0	meV per atom
crystal system	monoclinic
magnetization	0.000	μB/cell
ΔH_f (0 K)	-0.29	eV per atom
final energy	-24.92	eV per cell

Cell: 4.031 4.031 6.591 Å, 103.38 103.38 50.98°
Fractional positions:
Ca 0.000 0.000 0.000
Re 0.500 0.500 0.500
As 0.236 0.236 0.699
As 0.764 0.764 0.301